# K2RbGeMo

An optimized crystal structure of K2RbGeMo (PBEsol, the Alexandria database).

Calculated values
The calculation puts the total magnetization at 5.2 Bohr magnetons per cell. The value obtained for the total energy is -0.166 Ry/atom. The formation energy is 1.7403 eV per atom.

Geometry as CIF:
```
data_K2RbGeMo
_chemical_formula_sum 'K2 Rb1 Ge1 Mo1'
_symmetry_space_group_name_H-M 'P 4/m m m'
_symmetry_Int_Tables_number 123
_symmetry_space_group_name_Hall '-P 4 2'
_cell_length_a 6.3397
_cell_length_b 6.3397
_cell_length_c 5.7355
_cell_angle_alpha 90.00
_cell_angle_beta 90.00
_cell_angle_gamma 90.00
loop_
_atom_site_label
_atom_site_fract_x
_atom_site_fract_y
_atom_site_fract_z
K1 0.0000 0.5000 0.0000
Rb1 0.0000 0.0000 0.0000
Ge1 0.0000 0.0000 0.5000
Mo1 0.5000 0.5000 0.5000
```